*a*
Material: Pm2SmCo
Method: DFT, PBE-GGA
State: relaxed

Cell: 3.845 3.845 9.484 Å, 78.31 78.31 60.00°
Sites, in units of the cell vectors:
Pm1 0.057 0.057 0.830
Pm2 0.276 0.276 0.172
Sm1 0.501 0.501 0.497
Co1 0.666 0.666 0.001

As for the density of states at the Fermi level: 1.287 states/eV per atom. As for the space-group type: R3m, No. 160.



*b*
Material: Pm2SmCo
Method: DFT, PBE-GGA
State: relaxed

Cell: 3.492 3.492 9.103 Å, 90.00 90.00 90.00°
Sites, in units of the cell vectors:
Co1 0.500 0.500 0.000
Sm1 0.500 0.500 0.500
Pm1 0.000 0.000 0.817
Pm2 0.000 0.000 0.183

As for the density of states at the Fermi level: 1.182 states/eV per atom. As for the space-group type: P4/mmm, No. 123.



It is *b* that is most stable; the runner-up trails by 0.008 eV/atom.



*a*
Material: Pm2SmCo
Method: DFT, PBE-GGA
State: relaxed

Cell: 6.359 7.069 9.826 Å, 90.00 90.00 90.00°
Sites, in units of the cell vectors:
Pm1 0.176 0.672 0.070
Pm2 0.324 0.172 0.430
Pm3 0.824 0.328 0.570
Pm4 0.676 0.828 0.930
Pm5 0.824 0.328 0.930
Pm6 0.676 0.828 0.570
Pm7 0.176 0.672 0.430
Pm8 0.324 0.172 0.070
Sm1 0.649 0.544 0.250
Sm2 0.851 0.044 0.250
Sm3 0.351 0.456 0.750
Sm4 0.149 0.956 0.750
Co1 0.057 0.384 0.250
Co2 0.443 0.884 0.250
Co3 0.943 0.616 0.750
Co4 0.557 0.116 0.750

As for the density of states at the Fermi level: 1.272 states/eV per atom. As for the space-group type: Pnma, No. 62.



*b*
Material: Pm2SmCo
Method: DFT, PBE-GGA
State: relaxed

Cell: 3.785 3.785 9.681 Å, 78.73 78.73 60.00°
Sites, in units of the cell vectors:
Co1 0.000 0.000 0.000
Sm1 0.500 0.500 0.500
Pm1 0.276 0.276 0.172
Pm2 0.724 0.724 0.828

As for the density of states at the Fermi level: 1.128 states/eV per atom. As for the space-group type: R-3m, No. 166.



It is *a* that is most stable; the runner-up trails by 0.135 eV/atom.



*a*
Material: PmSm4Co
Method: DFT, PBE-GGA
State: relaxed

Cell: 4.746 4.746 9.019 Å, 90.00 90.00 90.00°
Sites, in units of the cell vectors:
Pm1 0.500 0.500 0.500
Sm1 0.500 0.000 0.818
Sm2 0.000 0.500 0.818
Sm3 0.000 0.500 0.182
Sm4 0.500 0.000 0.182
Co1 0.000 0.000 0.000

As for the density of states at the Fermi level: 1.290 states/eV per atom. As for the space-group type: P4/mmm, No. 123.



*b*
Material: PmSm4Co
Method: DFT, PBE-GGA
State: relaxed

Cell: 5.953 7.374 9.578 Å, 112.64 108.12 90.00°
Sites, in units of the cell vectors:
Pm1 0.803 0.803 0.606
Pm2 0.197 0.197 0.394
Sm1 0.174 0.673 0.347
Sm2 0.382 0.131 0.764
Sm3 0.000 0.232 0.000
Sm4 0.618 0.367 0.236
Sm5 0.826 0.327 0.653
Sm6 0.618 0.869 0.236
Sm7 0.000 0.768 0.000
Sm8 0.382 0.633 0.764
Co1 0.312 0.500 0.001
Co2 0.688 0.500 0.999

As for the density of states at the Fermi level: 1.311 states/eV per atom. As for the space-group type: C2/m, No. 12.



It is *b* that is most stable; the runner-up trails by 0.316 eV/atom.



*a*
Material: PmSm2Co2
Method: DFT, PBE-GGA
State: relaxed

Cell: 3.792 5.672 6.049 Å, 104.05 108.26 90.00°
Sites, in units of the cell vectors:
Pm1 0.000 0.000 0.000
Sm1 0.353 0.416 0.705
Sm2 0.647 0.584 0.295
Co1 0.724 0.101 0.448
Co2 0.276 0.899 0.552

As for the density of states at the Fermi level: 1.092 states/eV per atom. As for the space-group type: C2/m, No. 12.



*b*
Material: PmSm2Co2
Method: DFT, PBE-GGA
State: relaxed

Cell: 4.108 4.005 7.587 Å, 105.31 90.00 90.00°
Sites, in units of the cell vectors:
Pm1 0.000 0.000 0.000
Sm1 0.500 0.648 0.296
Sm2 0.500 0.352 0.704
Co1 0.000 0.212 0.423
Co2 0.000 0.788 0.577

As for the density of states at the Fermi level: 1.237 states/eV per atom. As for the space-group type: Cmmm, No. 65.



It is *b* that is most stable; the runner-up trails by 0.074 eV/atom.



*a*
Material: Pm4SmCo2
Method: DFT, PBE-GGA
State: relaxed

Cell: 6.686 8.944 6.991 Å, 113.03 90.00 90.00°
Sites, in units of the cell vectors:
Co1 0.250 0.335 0.961
Co2 0.750 0.665 0.039
Co3 0.750 0.336 0.374
Co4 0.250 0.664 0.626
Sm1 0.250 0.791 0.024
Sm2 0.750 0.209 0.976
Pm1 0.500 0.435 0.718
Pm2 0.250 0.208 0.232
Pm3 0.750 0.792 0.768
Pm4 0.000 0.435 0.718
Pm5 0.750 0.000 0.332
Pm6 0.000 0.565 0.282
Pm7 0.500 0.565 0.282
Pm8 0.250 0.000 0.668

As for the density of states at the Fermi level: 1.329 states/eV per atom. As for the space-group type: P2_1/m, No. 11.



*b*
Material: Pm4SmCo2
Method: DFT, PBE-GGA
State: relaxed

Cell: 4.706 4.759 8.780 Å, 105.73 90.00 90.00°
Sites, in units of the cell vectors:
Pm1 0.500 0.835 0.671
Pm2 0.000 0.659 0.318
Pm3 0.500 0.165 0.329
Pm4 0.000 0.341 0.682
Sm1 0.000 0.000 0.000
Co1 0.500 0.565 0.131
Co2 0.500 0.435 0.869

As for the density of states at the Fermi level: 1.209 states/eV per atom. As for the space-group type: Cmmm, No. 65.



It is *a* that is most stable; the runner-up trails by 0.153 eV/atom.



*a*
Material: PmSm3Co2
Method: DFT, PBE-GGA
State: relaxed

Cell: 3.781 8.651 10.135 Å, 79.17 79.25 77.38°
Sites, in units of the cell vectors:
Pm1 0.842 0.567 0.750
Pm2 0.158 0.433 0.250
Sm1 0.159 0.933 0.749
Sm2 0.841 0.067 0.251
Sm3 0.415 0.225 0.945
Sm4 0.585 0.775 0.055
Sm5 0.585 0.274 0.557
Sm6 0.415 0.726 0.443
Co1 0.235 0.578 0.952
Co2 0.765 0.422 0.048
Co3 0.766 0.922 0.547
Co4 0.234 0.078 0.453

As for the density of states at the Fermi level: 1.319 states/eV per atom. As for the space-group type: C2/m, No. 12.



*b*
Material: PmSm3Co2
Method: DFT, PBE-GGA
State: relaxed

Cell: 4.034 8.490 10.243 Å, 78.39 78.64 76.26°
Sites, in units of the cell vectors:
Pm1 0.438 0.434 0.691
Pm2 0.562 0.566 0.309
Sm1 0.062 0.067 0.809
Sm2 0.938 0.933 0.191
Sm3 0.688 0.683 0.941
Sm4 0.312 0.317 0.059
Sm5 0.811 0.818 0.559
Sm6 0.189 0.182 0.441
Co1 0.875 0.375 0.875
Co2 0.125 0.625 0.125
Co3 0.625 0.125 0.625
Co4 0.375 0.875 0.375

As for the density of states at the Fermi level: 1.001 states/eV per atom. As for the space-group type: C2/m, No. 12.



It is *a* that is most stable; the runner-up trails by 0.041 eV/atom.



*a*
Material: PmSmZnCo
Method: DFT, PBE-GGA
State: relaxed

Cell: 4.996 4.996 4.996 Å, 60.00 60.00 60.00°
Sites, in units of the cell vectors:
Zn1 0.000 0.000 0.000
Co1 0.500 0.500 0.500
Sm1 0.250 0.250 0.250
Pm1 0.750 0.750 0.750

As for the density of states at the Fermi level: 0.621 states/eV per atom. As for the space-group type: F-43m, No. 216.



*b*
Material: PmSmZnCo
Method: DFT, PBE-GGA
State: relaxed

Cell: 3.917 4.349 5.774 Å, 90.00 109.83 90.00°
Sites, in units of the cell vectors:
Pm1 0.137 0.000 0.274
Sm1 0.859 0.500 0.717
Zn1 0.564 0.500 0.127
Co1 0.441 0.000 0.882

As for the density of states at the Fermi level: 0.978 states/eV per atom. As for the space-group type: Amm2, No. 38.



It is *b* that is most stable; the runner-up trails by 0.032 eV/atom.



*a*
Material: PmCoSn
Method: DFT, PBE-GGA
State: relaxed

Cell: 3.319 3.319 6.191 Å, 105.55 105.55 90.00°
Sites, in units of the cell vectors:
Co1 0.651 0.651 0.302
Sn1 0.032 0.032 0.065
Pm1 0.317 0.317 0.634

As for the density of states at the Fermi level: 0.852 states/eV per atom. As for the space-group type: I4mm, No. 107.



*b*
Material: PmCoSn
Method: DFT, PBE-GGA
State: relaxed

Cell: 3.778 4.524 4.524 Å, 120.00 90.00 90.00°
Sites, in units of the cell vectors:
Co1 0.167 0.000 0.000
Sn1 0.167 0.333 0.667
Pm1 0.667 0.667 0.333

As for the density of states at the Fermi level: 0.927 states/eV per atom. As for the space-group type: P-6m2, No. 187.



*c*
Material: PmCoSn
Method: DFT, PBE-GGA
State: relaxed

Cell: 5.184 6.347 8.175 Å, 90.00 90.00 90.00°
Sites, in units of the cell vectors:
Pm1 0.750 0.646 0.315
Pm2 0.250 0.146 0.185
Pm3 0.750 0.854 0.815
Pm4 0.250 0.354 0.685
Co1 0.250 0.950 0.869
Co2 0.750 0.450 0.631
Co3 0.750 0.050 0.131
Co4 0.250 0.550 0.369
Sn1 0.250 0.857 0.560
Sn2 0.250 0.643 0.060
Sn3 0.750 0.143 0.440
Sn4 0.750 0.357 0.940

As for the density of states at the Fermi level: 0.982 states/eV per atom. As for the space-group type: Pnma, No. 62.



*d*
Material: PmCoSn
Method: DFT, PBE-GGA
State: relaxed

Cell: 6.771 7.541 6.771 Å, 70.46 75.23 109.54°
Sites, in units of the cell vectors:
Sn1 0.873 0.251 0.495
Sn2 0.872 0.249 0.996
Sn3 0.755 0.751 0.377
Sn4 0.254 0.749 0.378
Co1 0.038 0.976 0.493
Co2 0.757 0.476 0.212
Co3 0.531 0.024 0.938
Co4 0.312 0.524 0.719
Pm1 0.376 0.276 0.573
Pm2 0.677 0.776 0.874
Pm3 0.350 0.224 0.099
Pm4 0.151 0.724 0.900

As for the density of states at the Fermi level: 0.532 states/eV per atom. As for the space-group type: Fdd2, No. 43.



It is *b* that is most stable; the runner-up trails by 0.107 eV/atom.